Entry 1:
# Hf6InIr PBE-GGA optimized geometry
data_Hf6InIr
_chemical_formula_sum 'Hf18 In3 Ir3'
_cell_length_a 9.6945
_cell_length_b 9.6945
_cell_length_c 6.7474
_cell_angle_alpha 90.00
_cell_angle_beta 90.00
_cell_angle_gamma 120.00
_space_group_name_H-M_alt 'R -3 m'
_space_group_IT_number 166
_space_group_name_Hall '-R 3 2"'
loop_
_atom_site_label
_atom_site_type_symbol
_atom_site_fract_x
_atom_site_fract_y
_atom_site_fract_z
Hf1 Hf 0.0345 0.5172 0.2881
In1 In 0.0000 0.0000 0.0000
Ir1 Ir 0.0000 0.0000 0.5000
# Formation enthalpy at 0 K ... 19.0 kJ/mol of formula units
# Total magnetization ... 0.00 μB/atom
# Density of states at the Fermi level ... 7.84 states/eV/f.u.

=====

Entry 2:
# Hf2InIr PBE-GGA optimized geometry
data_Hf2InIr
_chemical_formula_sum 'Hf2 In1 Ir1'
_cell_length_a 3.0680
_cell_length_b 3.0680
_cell_length_c 8.3375
_cell_angle_alpha 90.00
_cell_angle_beta 90.00
_cell_angle_gamma 90.00
_space_group_name_H-M_alt 'P 4/m m m'
_space_group_IT_number 123
_space_group_name_Hall '-P 4 2'
loop_
_atom_site_label
_atom_site_type_symbol
_atom_site_fract_x
_atom_site_fract_y
_atom_site_fract_z
Hf1 Hf 0.0000 0.0000 0.2174
In1 In 0.5000 0.5000 0.5000
Ir1 Ir 0.5000 0.5000 0.0000
# Formation enthalpy at 0 K ... -200.1 kJ/mol of formula units
# Total magnetization ... 0.00 μB/atom
# Density of states at the Fermi level ... 4.67 states/eV/f.u.

=====

Entry 3:
# Hf2InIr PBE-GGA optimized geometry
data_Hf2InIr
_chemical_formula_sum 'Hf8 In4 Ir4'
_cell_length_a 7.6776
_cell_length_b 7.6776
_cell_length_c 6.0044
_cell_angle_alpha 90.00
_cell_angle_beta 90.00
_cell_angle_gamma 90.00
_space_group_name_H-M_alt 'I -4 2 d'
_space_group_IT_number 122
_space_group_name_Hall 'I -4 2bw'
loop_
_atom_site_label
_atom_site_type_symbol
_atom_site_fract_x
_atom_site_fract_y
_atom_site_fract_z
Hf1 Hf 0.1996 0.7500 0.1250
In1 In 0.0000 0.0000 0.5000
Ir1 Ir 0.0000 0.0000 0.0000
# Formation enthalpy at 0 K ... -39.5 kJ/mol of formula units
# Total magnetization ... 0.00 μB/atom
# Density of states at the Fermi level ... 1.90 states/eV/f.u.

=====

Entry 4:
# LiHfInIr2 PBE-GGA optimized geometry
data_LiHfInIr2
_chemical_formula_sum 'Li1 Hf1 In1 Ir2'
_cell_length_a 4.3406
_cell_length_b 4.3406
_cell_length_c 4.3708
_cell_angle_alpha 90.00
_cell_angle_beta 90.00
_cell_angle_gamma 90.00
_space_group_name_H-M_alt 'P 4/m m m'
_space_group_IT_number 123
_space_group_name_Hall '-P 4 2'
loop_
_atom_site_label
_atom_site_type_symbol
_atom_site_fract_x
_atom_site_fract_y
_atom_site_fract_z
Li1 Li 0.0000 0.0000 0.0000
Hf1 Hf 0.0000 0.0000 0.5000
In1 In 0.5000 0.5000 0.5000
Ir1 Ir 0.0000 0.5000 0.0000
# Formation enthalpy at 0 K ... 197.9 kJ/mol of formula units
# Total magnetization ... 0.00 μB/atom
# Density of states at the Fermi level ... 3.67 states/eV/f.u.

=====

Entry 5:
# LiHfInIr PBE-GGA optimized geometry
data_LiHfInIr
_chemical_formula_sum 'Li4 Hf4 In4 Ir4'
_cell_length_a 6.4934
_cell_length_b 6.4934
_cell_length_c 6.4934
_cell_angle_alpha 90.00
_cell_angle_beta 90.00
_cell_angle_gamma 90.00
_space_group_name_H-M_alt 'F -4 3 m'
_space_group_IT_number 216
_space_group_name_Hall 'F -4 2 3'
loop_
_atom_site_label
_atom_site_type_symbol
_atom_site_fract_x
_atom_site_fract_y
_atom_site_fract_z
Li1 Li 0.0000 0.0000 0.0000
Hf1 Hf 0.2500 0.2500 0.2500
In1 In 0.2500 0.2500 0.7500
Ir1 Ir 0.0000 0.0000 0.5000
# Formation enthalpy at 0 K ... -211.5 kJ/mol of formula units
# Total magnetization ... 0.00 μB/atom
# Density of states at the Fermi level ... 3.62 states/eV/f.u.

=====

Entry 6:
# LuHfInIr PBE-GGA optimized geometry
data_LuHfInIr
_chemical_formula_sum 'Lu4 Hf4 In4 Ir4'
_cell_length_a 6.9040
_cell_length_b 6.9040
_cell_length_c 6.9040
_cell_angle_alpha 90.00
_cell_angle_beta 90.00
_cell_angle_gamma 90.00
_space_group_name_H-M_alt 'F -4 3 m'
_space_group_IT_number 216
_space_group_name_Hall 'F -4 2 3'
loop_
_atom_site_label
_atom_site_type_symbol
_atom_site_fract_x
_atom_site_fract_y
_atom_site_fract_z
Lu1 Lu 0.0000 0.0000 0.0000
Hf1 Hf 0.0000 0.0000 0.5000
In1 In 0.2500 0.2500 0.2500
Ir1 Ir 0.2500 0.2500 0.7500
# Formation enthalpy at 0 K ... -170.5 kJ/mol of formula units
# Total magnetization ... 0.00 μB/atom
# Density of states at the Fermi level ... 3.16 states/eV/f.u.

=====

Entry 7:
# HfMgInIr PBE-GGA optimized geometry
data_HfMgInIr
_chemical_formula_sum 'Hf1 Mg1 In1 Ir1'
_cell_length_a 3.1547
_cell_length_b 3.1547
_cell_length_c 7.7723
_cell_angle_alpha 90.00
_cell_angle_beta 90.00
_cell_angle_gamma 90.00
_space_group_name_H-M_alt 'P 4 m m'
_space_group_IT_number 99
_space_group_name_Hall 'P 4 -2'
loop_
_atom_site_label
_atom_site_type_symbol
_atom_site_fract_x
_atom_site_fract_y
_atom_site_fract_z
Hf1 Hf 0.0000 0.0000 0.0000
Mg1 Mg 0.0000 0.0000 0.4222
In1 In 0.5000 0.5000 0.7089
Ir1 Ir 0.5000 0.5000 0.2053
# Formation enthalpy at 0 K ... -184.7 kJ/mol of formula units
# Total magnetization ... 0.00 μB/atom
# Density of states at the Fermi level ... 1.54 states/eV/f.u.

=====

Entry 8:
# HfInNiIr PBE-GGA optimized geometry
data_HfInNiIr
_chemical_formula_sum 'Hf4 In4 Ni4 Ir4'
_cell_length_a 6.4317
_cell_length_b 6.4317
_cell_length_c 6.4317
_cell_angle_alpha 90.00
_cell_angle_beta 90.00
_cell_angle_gamma 90.00
_space_group_name_H-M_alt 'F -4 3 m'
_space_group_IT_number 216
_space_group_name_Hall 'F -4 2 3'
loop_
_atom_site_label
_atom_site_type_symbol
_atom_site_fract_x
_atom_site_fract_y
_atom_site_fract_z
Hf1 Hf 0.0000 0.0000 0.0000
In1 In 0.0000 0.0000 0.5000
Ni1 Ni 0.2500 0.2500 0.2500
Ir1 Ir 0.2500 0.2500 0.7500
# Formation enthalpy at 0 K ... -201.7 kJ/mol of formula units
# Total magnetization ... 0.00 μB/atom
# Density of states at the Fermi level ... 2.32 states/eV/f.u.

=====

Entry 9:
# HfInIrO6 PBE-GGA optimized geometry
data_HfInIrO6
_chemical_formula_sum 'Hf2 In2 Ir2 O12'
_cell_length_a 4.8035
_cell_length_b 4.8035
_cell_length_c 9.7434
_cell_angle_alpha 90.00
_cell_angle_beta 90.00
_cell_angle_gamma 90.00
_space_group_name_H-M_alt 'P 42 n m'
_space_group_IT_number 102
_space_group_name_Hall 'P 4n -2n'
loop_
_atom_site_label
_atom_site_type_symbol
_atom_site_fract_x
_atom_site_fract_y
_atom_site_fract_z
Hf1 Hf 0.0000 0.0000 0.0000
In1 In 0.0000 0.0000 0.3336
Ir1 Ir 0.0000 0.0000 0.6671
O1 O 0.1839 0.1839 0.8291
O2 O 0.1945 0.1945 0.5131
O3 O 0.2129 0.2129 0.1588
# Total magnetization ... 0.21 μB/atom
# Formation energy (no corrections) ... -1805 meV/atom
# Density of states at the Fermi level ... 2.91 states/eV/f.u.

=====

Entry 10:
# Hf2InIrO PBE-GGA optimized geometry
data_Hf2InIrO
_chemical_formula_sum 'Hf2 In1 Ir1 O1'
_cell_length_a 5.2735
_cell_length_b 5.2735
_cell_length_c 3.7343
_cell_angle_alpha 90.00
_cell_angle_beta 90.00
_cell_angle_gamma 90.00
_space_group_name_H-M_alt 'P 4/m m m'
_space_group_IT_number 123
_space_group_name_Hall '-P 4 2'
loop_
_atom_site_label
_atom_site_type_symbol
_atom_site_fract_x
_atom_site_fract_y
_atom_site_fract_z
Hf1 Hf 0.0000 0.5000 0.0000
In1 In 0.0000 0.0000 0.5000
Ir1 Ir 0.5000 0.5000 0.0000
O1 O 0.5000 0.5000 0.5000
# Total magnetization ... 0.00 μB/atom
# Formation energy (no corrections) ... -8 meV/atom
# Density of states at the Fermi level ... 3.32 states/eV/f.u.

=====

Entry 11:
# Hf5In2TcIr2 PBE-GGA optimized geometry
data_Hf5In2TcIr2
_chemical_formula_sum 'Hf10 In4 Tc2 Ir4'
_cell_length_a 11.2084
_cell_length_b 11.2084
_cell_length_c 3.2890
_cell_angle_alpha 90.00
_cell_angle_beta 90.00
_cell_angle_gamma 90.00
_space_group_name_H-M_alt 'P 4/m b m'
_space_group_IT_number 127
_space_group_name_Hall '-P 4 2ab'
loop_
_atom_site_label
_atom_site_type_symbol
_atom_site_fract_x
_atom_site_fract_y
_atom_site_fract_z
Hf1 Hf 0.0000 0.5000 0.0000
Hf2 Hf 0.0650 0.1904 0.0000
In1 In 0.1747 0.6747 0.5000
Tc1 Tc 0.0000 0.0000 0.5000
Ir1 Ir 0.1337 0.3663 0.5000
# Formation enthalpy at 0 K ... -440.8 kJ/mol of formula units
# Total magnetization ... 0.00 μB/atom
# Density of states at the Fermi level ... 7.78 states/eV/f.u.

=====

Entry 12:
# Hf2TiInIr PBE-GGA optimized geometry
data_Hf2TiInIr
_chemical_formula_sum 'Hf2 Ti1 In1 Ir1'
_cell_length_a 5.1245
_cell_length_b 5.1245
_cell_length_c 4.7505
_cell_angle_alpha 90.00
_cell_angle_beta 90.00
_cell_angle_gamma 90.00
_space_group_name_H-M_alt 'P 4/m m m'
_space_group_IT_number 123
_space_group_name_Hall '-P 4 2'
loop_
_atom_site_label
_atom_site_type_symbol
_atom_site_fract_x
_atom_site_fract_y
_atom_site_fract_z
Hf1 Hf 0.0000 0.5000 0.0000
Ti1 Ti 0.0000 0.0000 0.5000
In1 In 0.0000 0.0000 0.0000
Ir1 Ir 0.5000 0.5000 0.5000
# Formation enthalpy at 0 K ... 737.9 kJ/mol of formula units
# Total magnetization ... 0.00 μB/atom
# Density of states at the Fermi level ... 7.12 states/eV/f.u.